# 1
YZnCoMo | PBE | optimized geometry

Computed properties:
polymorph energy (0 for the lowest one)	7.7	meV per atom
crystal system	cubic

a b c (Å): 4.557 4.557 4.557
angles (deg): 60.00 60.00 60.00
Element x y z (fractional)
Y  0.500  0.500  0.500
Co  0.750  0.750  0.750
Mo  0.250  0.250  0.250
Zn  0.000  0.000  0.000

# 2
BaMg4Cd8 | PBE | optimized geometry

Computed properties:
E	-1.36	eV/atom
crystal system	tetragonal

a b c (Å): 7.763 7.763 7.763
angles (deg): 98.70 98.70 134.22
Element x y z (fractional)
Cd  0.500  0.278  0.778
Mg  0.500  0.500  0.500
Cd  0.352  0.000  0.352
Ba  0.000  0.000  0.000
Cd  0.722  0.500  0.222
Cd  0.500  0.722  0.222
Cd  0.278  0.500  0.778
Mg  0.000  0.000  0.500
Cd  0.000  0.352  0.352
Mg  0.000  0.500  0.000
Cd  0.000  0.648  0.648
Mg  0.500  0.000  0.000
Cd  0.648  0.000  0.648

| no. | volume (Å³/f.u.) |
| --- | --- |
| 1 | 67 |
| 2 | 309 |